[1]
DFT (PBE) results for a relaxed GeSeClF2 crystal.

Cell lengths 4.2374, 5.3555, 4.2374 Å; angles 90.00, 90.00, 90.00 degrees
With the nearest neighbours (Å) after each atom.
Fractional positions:
F (0.5000, 0.0000, 0.0000)  2 Cl 2.12
F (0.0000, 0.0000, 0.5000)  2 Cl 2.12
Cl (0.0000, 0.0000, 0.0000)  4 F 2.12
Ge (0.5000, 0.5000, 0.5000)  4 Se 3.00
Se (0.0000, 0.5000, 0.0000)  2 Cl 2.68, 4 Ge 3.00

## Properties
ΔE_f (raw), meV/atom: -115
DOS at the Fermi energy, states/eV per cell: 1.243
SG: No. 123
Total DFT energy (no corrections), eV/atom: -2.853

=====

[2]
DFT (PBE) results for a relaxed SrGeClF6 crystal.

Cell lengths 6.7827, 5.7475, 5.2898 Å; angles 84.19, 75.69, 53.11 degrees
With the nearest neighbours (Å) after each atom.
Fractional positions:
F (0.0101, 0.6135, 0.6880)  1 Ge 1.82
F (0.4844, 0.3640, 0.7276)  1 Ge 1.82
F (0.3756, 0.5905, 0.3118)  1 Ge 1.82
F (0.1789, 0.3030, 0.2859)  1 Ge 1.83
F (0.6407, 0.0218, 0.3205)  1 Ge 1.86
F (0.3354, 0.0450, 0.7068)  1 Ge 1.89
Sr (0.7205, 0.5576, 0.4886)  6 F 2.48-2.63
Ge (0.3302, 0.3390, 0.5054)  6 F 1.82-1.89
Cl (0.9240, 0.1656, 0.9654)  1 F 2.47

## Properties
ΔE_f (raw), meV/atom: -2515
SG: No. 1
Total DFT energy (no corrections), eV/atom: -4.668

=====

[3]
DFT (PBE) results for a relaxed TcGeCl2F crystal.

Cell lengths 5.3342, 4.0873, 5.3342 Å; angles 90.00, 90.00, 90.00 degrees
With the nearest neighbours (Å) after each atom.
Fractional positions:
Cl (0.5000, 0.0000, 0.0000)  2 Ge 2.67
Cl (0.0000, 0.0000, 0.5000)  2 Ge 2.67
Tc (0.5000, 0.5000, 0.5000)  8 Cl 3.36
Ge (0.0000, 0.0000, 0.0000)  2 F 2.04
F (0.0000, 0.5000, 0.0000)  2 Ge 2.04

## Properties
ΔE_f (raw), meV/atom: -72
DOS at the Fermi energy, states/eV per cell: 3.675
SG: No. 123
Total DFT energy (no corrections), eV/atom: -4.181

=====

[4]
DFT (PBE) results for a relaxed Tl2GeCl4F2 crystal.

Cell lengths 6.2623, 6.7099, 6.7099 Å; angles 63.31, 72.92, 72.92 degrees
With the nearest neighbours (Å) after each atom.
Fractional positions:
Cl (0.3181, 0.1616, 0.6907)  1 Ge 2.33
Cl (0.6819, 0.8384, 0.3093)  1 Ge 2.33
Cl (0.3181, 0.6907, 0.1616)  1 Ge 2.33
Cl (0.6819, 0.3093, 0.8384)  1 Ge 2.33
Tl (0.2358, 0.7001, 0.7001)  1 F 3.00, 4 Cl 3.25-3.26
Tl (0.7642, 0.2999, 0.2999)  1 F 3.00, 4 Cl 3.25-3.26
F (0.7372, 0.8505, 0.8505)  1 Ge 1.84
F (0.2628, 0.1495, 0.1495)  1 Ge 1.84
Ge (0.5000, 0.0000, 0.0000)  2 F 1.84

## Properties
ΔE_f (raw), meV/atom: -1352
DOS at the Fermi energy, states/eV per cell: 0.000
SG: No. 12
Total DFT energy (no corrections), eV/atom: -3.628

=====

[5]
DFT (PBE) results for a relaxed Tl2GeCl5F crystal.

Cell lengths 7.0021, 7.0021, 7.0021 Å; angles 90.97, 119.44, 119.44 degrees
With the nearest neighbours (Å) after each atom.
Fractional positions:
Tl (0.5000, 0.7488, 0.2488)  10 Cl 3.46-3.55, 2 F 3.58
Tl (0.5000, 0.2488, 0.7488)  10 Cl 3.46-3.55, 2 F 3.58
Cl (0.0000, 0.2262, 0.7586)  1 Ge 2.34
Cl (0.0000, 0.7586, 0.2262)  1 Ge 2.34
Cl (0.4676, 0.2262, 0.2262)  1 Ge 2.34
Cl (0.5324, 0.7586, 0.7586)  1 Ge 2.34
Cl (0.0000, 0.2299, 0.2299)  1 Ge 2.31
F (0.0000, 0.8086, 0.8086)  1 Ge 1.82
Ge (0.0000, 0.9942, 0.9942)  1 F 1.82

## Properties
ΔE_f (raw), meV/atom: -1143
DOS at the Fermi energy, states/eV per cell: 0.000
SG: No. 107
Total DFT energy (no corrections), eV/atom: -3.415

=====

[6]
DFT (PBE) results for a relaxed TlGeClF6 crystal.

Cell lengths 5.5887, 7.3228, 4.7190 Å; angles 98.85, 92.24, 48.01 degrees
With the nearest neighbours (Å) after each atom.
Fractional positions:
F (0.9531, 0.6470, 0.7162)  1 Ge 1.90
F (0.1691, 0.1960, 0.6229)  1 Ge 1.89
F (0.5580, 0.2646, 0.8124)  1 Ge 1.74
F (0.4614, 0.4839, 0.3868)  1 Ge 1.83
F (0.0537, 0.4336, 0.2226)  1 Ge 1.87
F (0.6469, 0.0253, 0.3018)  1 Ge 1.83
Cl (0.2858, 0.8412, 0.9779)  2 Tl 2.50-2.75
Ge (0.3323, 0.3354, 0.5149)  6 F 1.74-1.90
Tl (0.5395, 0.7730, 0.4445)  5 F 2.26-2.47, 1 Cl 2.50

## Properties
ΔE_f (raw), meV/atom: -1915
SG: No. 1
Total DFT energy (no corrections), eV/atom: -4.144

=====

[7]
DFT (PBE) results for a relaxed TlGeClF2 crystal.

Cell lengths 4.3078, 7.4770, 8.1158 Å; angles 94.08, 90.00, 90.00 degrees
With the nearest neighbours (Å) after each atom.
Fractional positions:
F (0.2500, 0.5007, 0.2178)  1 Ge 1.84
F (0.2500, 0.4367, 0.5497)  3 Ge 2.08-2.30
F (0.7500, 0.5633, 0.4503)  3 Ge 2.08-2.30
F (0.7500, 0.4993, 0.7822)  1 Ge 1.84
Tl (0.7500, 0.2510, 0.0709)  3 F 3.04-3.09, 3 Cl 3.08
Tl (0.2500, 0.7490, 0.9291)  3 F 3.04-3.09, 3 Cl 3.08
Cl (0.2500, 0.1331, 0.8146)  3 Tl 3.08, 1 F 3.24, 2 Ge 3.28
Cl (0.7500, 0.8669, 0.1854)  3 Tl 3.08, 1 F 3.24, 2 Ge 3.28
Ge (0.2500, 0.6549, 0.4049)  1 F 1.84
Ge (0.7500, 0.3451, 0.5951)  1 F 1.84

## Properties
ΔE_f (raw), meV/atom: -1634
DOS at the Fermi energy, states/eV per cell: 0.000
ΔE to the lowest computed polymorph, meV per atom: 0
SG: No. 11
Total DFT energy (no corrections), eV/atom: -4.149

=====

[8]
DFT (PBE) results for a relaxed Tl3GeCl2F6 crystal.

Cell lengths 5.3102, 6.8913, 7.9370 Å; angles 115.73, 84.46, 90.00 degrees
With the nearest neighbours (Å) after each atom.
Fractional positions:
Tl (0.5000, 0.5000, 0.5000)  4 F 2.91-2.99, 2 Cl 3.23
Tl (0.5000, 0.0000, 0.5000)  4 F 2.91-2.99, 2 Cl 3.23
Tl (0.0000, 0.5000, 0.0000)  2 Cl 2.66, 4 F 2.71
F (0.3066, 0.7591, 0.9039)  1 Ge 1.86
F (0.6934, 0.2409, 0.0961)  1 Ge 1.86
F (0.2998, 0.1118, 0.2236)  1 Ge 1.82
F (0.3066, 0.1449, 0.9039)  1 Ge 1.86
F (0.7002, 0.8882, 0.7764)  1 Ge 1.82
F (0.6934, 0.8551, 0.0961)  1 Ge 1.86
Cl (0.9641, 0.3160, 0.6320)  1 Tl 2.66
Cl (0.0359, 0.6840, 0.3680)  1 Tl 2.66
Ge (0.5000, 0.0000, 0.0000)  6 F 1.82-1.86

## Properties
ΔE_f (raw), meV/atom: -1806
DOS at the Fermi energy, states/eV per cell: 2.053
SG: No. 12
Total DFT energy (no corrections), eV/atom: -4.026

=====

[9]
DFT (PBE) results for a relaxed TlGeClF2 crystal.

Cell lengths 4.4617, 4.4617, 5.5001 Å; angles 90.00, 90.00, 90.00 degrees
With the nearest neighbours (Å) after each atom.
Fractional positions:
F (0.0000, 0.5000, 0.0000)  2 Ge 2.23
F (0.5000, 0.0000, 0.0000)  2 Ge 2.23
Ge (0.0000, 0.0000, 0.0000)  4 F 2.23
Cl (0.0000, 0.0000, 0.5000)  2 Ge 2.75
Tl (0.5000, 0.5000, 0.5000)  4 Cl 3.15

## Properties
ΔE_f (raw), meV/atom: -1555
DOS at the Fermi energy, states/eV per cell: 0.000
ΔE to the lowest computed polymorph, meV per atom: 79
SG: No. 123
Total DFT energy (no corrections), eV/atom: -4.070

=====

[10]
DFT (PBE) results for a relaxed Tl2GeCl2F4 crystal.

Cell lengths 5.4388, 6.4752, 6.4752 Å; angles 58.23, 92.30, 92.30 degrees
With the nearest neighbours (Å) after each atom.
Fractional positions:
Tl (0.8026, 0.3544, 0.3544)  2 F 2.97, 3 Cl 3.20-3.24
Tl (0.1974, 0.6456, 0.6456)  2 F 2.97, 3 Cl 3.20-3.24
F (0.7117, 0.2617, 0.8460)  1 Ge 1.83
F (0.2883, 0.7383, 0.1540)  1 Ge 1.83
F (0.2883, 0.1540, 0.7383)  1 Ge 1.83
F (0.7117, 0.8460, 0.2617)  1 Ge 1.83
Cl (0.6831, 0.8162, 0.8162)  1 Ge 2.35
Cl (0.3169, 0.1838, 0.1838)  1 Ge 2.35
Ge (0.5000, 0.0000, 0.0000)  4 F 1.83

## Properties
ΔE_f (raw), meV/atom: -1796
DOS at the Fermi energy, states/eV per cell: 0.000
SG: No. 12
Total DFT energy (no corrections), eV/atom: -4.077

=====

[11]
DFT (PBE) results for a relaxed ZrGeClF2 crystal.

Cell lengths 4.5585, 4.7717, 4.5585 Å; angles 90.00, 90.00, 90.00 degrees
With the nearest neighbours (Å) after each atom.
Fractional positions:
Cl (0.0000, 0.0000, 0.0000)  4 F 2.28, 2 Zr 2.39
F (0.5000, 0.0000, 0.0000)  2 Cl 2.28
F (0.0000, 0.0000, 0.5000)  2 Cl 2.28
Ge (0.5000, 0.5000, 0.5000)  4 Zr 3.22, 8 F 3.30
Zr (0.0000, 0.5000, 0.0000)  2 Cl 2.39

## Properties
ΔE_f (raw), meV/atom: -396
DOS at the Fermi energy, states/eV per cell: 4.602
SG: No. 123
Total DFT energy (no corrections), eV/atom: -4.147

=====

[12]
DFT (PBE) results for a relaxed HClF2 crystal.

Cell lengths 4.8007, 6.7732, 7.5028 Å; angles 90.00, 90.00, 90.00 degrees
With the nearest neighbours (Å) after each atom.
Fractional positions:
H (0.8184, 0.0036, 0.9849)  1 F 0.97
H (0.3184, 0.9964, 0.0151)  1 F 0.97
H (0.8184, 0.5036, 0.5151)  1 F 0.97
H (0.3184, 0.4964, 0.4849)  1 F 0.97
F (0.1466, 0.3171, 0.7995)  1 Cl 1.89
F (0.6374, 0.0173, 0.9294)  1 H 0.97
F (0.1466, 0.8171, 0.7005)  1 Cl 1.89
F (0.6466, 0.6829, 0.2005)  1 Cl 1.89
F (0.1374, 0.9827, 0.0706)  1 H 0.97
F (0.6466, 0.1829, 0.2995)  1 Cl 1.89
F (0.1374, 0.4827, 0.4294)  1 H 0.97
F (0.6374, 0.5173, 0.5706)  1 H 0.97
Cl (0.6474, 0.0060, 0.4937)  1 F 1.89
Cl (0.1474, 0.9940, 0.5063)  1 F 1.89
Cl (0.6474, 0.5060, 0.0063)  1 F 1.89
Cl (0.1474, 0.4940, 0.9937)  1 F 1.89

## Properties
DOS at the Fermi energy, states/eV per cell: 2.577
ΔE to the lowest computed polymorph, meV per atom: 270
SG: No. 33
Total DFT energy (no corrections), eV/atom: -2.959

=====

Please write out number 4 again, unchanged.
DFT (PBE) results for a relaxed Tl2GeCl4F2 crystal.

Cell lengths 6.2623, 6.7099, 6.7099 Å; angles 63.31, 72.92, 72.92 degrees
With the nearest neighbours (Å) after each atom.
Fractional positions:
Cl (0.3181, 0.1616, 0.6907)  1 Ge 2.33
Cl (0.6819, 0.8384, 0.3093)  1 Ge 2.33
Cl (0.3181, 0.6907, 0.1616)  1 Ge 2.33
Cl (0.6819, 0.3093, 0.8384)  1 Ge 2.33
Tl (0.2358, 0.7001, 0.7001)  1 F 3.00, 4 Cl 3.25-3.26
Tl (0.7642, 0.2999, 0.2999)  1 F 3.00, 4 Cl 3.25-3.26
F (0.7372, 0.8505, 0.8505)  1 Ge 1.84
F (0.2628, 0.1495, 0.1495)  1 Ge 1.84
Ge (0.5000, 0.0000, 0.0000)  2 F 1.84

## Properties
ΔE_f (raw), meV/atom: -1352
DOS at the Fermi energy, states/eV per cell: 0.000
SG: No. 12
Total DFT energy (no corrections), eV/atom: -3.628

=====

What did the eleventh record say?
DFT (PBE) results for a relaxed ZrGeClF2 crystal.

Cell lengths 4.5585, 4.7717, 4.5585 Å; angles 90.00, 90.00, 90.00 degrees
With the nearest neighbours (Å) after each atom.
Fractional positions:
Cl (0.0000, 0.0000, 0.0000)  4 F 2.28, 2 Zr 2.39
F (0.5000, 0.0000, 0.0000)  2 Cl 2.28
F (0.0000, 0.0000, 0.5000)  2 Cl 2.28
Ge (0.5000, 0.5000, 0.5000)  4 Zr 3.22, 8 F 3.30
Zr (0.0000, 0.5000, 0.0000)  2 Cl 2.39

## Properties
ΔE_f (raw), meV/atom: -396
DOS at the Fermi energy, states/eV per cell: 4.602
SG: No. 123
Total DFT energy (no corrections), eV/atom: -4.147

=====

Q: Which value of total DFT energy (no corrections) does entry 9 give?
A: -4.070 eV/atom

=====

Q: Among the records above, which one has the highest total DFT energy (no corrections)?
A: GeSeClF2